(A)
GaReI3 (GGA-PBE, optimized geometry); crystal system = cubic; SG = Pm-3m; density of states at the Fermi level = 2.9 states/eV per cell
1.0
5.575 0.000 0.000
0.000 5.575 0.000
0.000 0.000 5.575
I Re Ga
3 1 1
Cartesian
0.000 2.787 0.000
0.000 0.000 2.787
2.787 0.000 0.000
0.000 0.000 0.000
2.787 2.787 2.787

=====

(B)
GaReI3 (GGA-PBE, optimized geometry); crystal system = cubic; SG = Pm-3m; density of states at the Fermi level = 1.5 states/eV per cell
1.0
-2.308 3.661 3.744
2.154 -3.066 4.326
4.773 3.154 -0.141
I Re Ga
3 1 1
Cartesian
1.077 -1.533 2.163
2.387 1.577 -0.071
-1.154 1.831 1.872
2.309 1.875 3.964
0.000 0.000 0.000

=====

The most stable of them is (A).

=====

(A)
GaReTeI2 (GGA-PBE, optimized geometry); crystal system = tetragonal; SG = P4/mmm; density of states at the Fermi level = 2.2 states/eV per cell
1.0
5.527 0.000 0.000
0.000 5.527 0.000
0.000 0.000 5.595
I Re Te Ga
2 1 1 1
Cartesian
0.000 2.764 0.000
2.764 0.000 0.000
2.764 2.764 2.797
0.000 0.000 2.797
0.000 0.000 0.000

=====

(B)
GaReTeI2 (GGA-PBE, optimized geometry); crystal system = tetragonal; SG = P4/mmm; density of states at the Fermi level = 2.4 states/eV per cell
1.0
5.739 0.000 0.000
0.000 5.739 0.000
0.000 0.000 5.069
I Re Te Ga
2 1 1 1
Cartesian
0.000 2.870 0.000
2.870 0.000 0.000
0.000 0.000 0.000
0.000 0.000 2.534
2.870 2.870 2.534

=====

The most stable of them is (B).

=====

(A)
Zn2GaReI (GGA-PBE, optimized geometry); crystal system = tetragonal; SG = P4/mmm; density of states at the Fermi level = 3.6 states/eV per cell
1.0
-5.024 -1.551 0.841
0.664 -3.874 -3.175
1.619 -3.047 4.056
I Re Zn Ga
1 1 2 1
Cartesian
0.000 0.000 0.000
0.332 -1.937 -1.588
0.810 -1.523 2.028
-2.512 -0.775 0.420
-1.370 -4.236 0.861

=====

(B)
Zn2GaReI (GGA-PBE, optimized geometry); crystal system = tetragonal; SG = P4/mmm; density of states at the Fermi level = 4.5 states/eV per cell
1.0
5.096 0.000 0.000
0.000 5.096 0.000
0.000 0.000 5.012
I Re Zn Ga
1 1 2 1
Cartesian
2.548 2.548 2.506
0.000 0.000 0.000
0.000 2.548 0.000
2.548 0.000 0.000
0.000 0.000 2.506

=====

The most stable of them is (B).

=====

(A)
GaTe2RhI (GGA-PBE, optimized geometry); crystal system = tetragonal; SG = P4/mmm; density of states at the Fermi level = 6.9 states/eV per cell
1.0
5.216 0.000 0.000
0.000 5.216 0.000
0.000 0.000 5.690
I Te Rh Ga
1 2 1 1
Cartesian
0.000 0.000 2.845
0.000 2.608 0.000
2.608 0.000 0.000
0.000 0.000 0.000
2.608 2.608 2.845

=====

(B)
GaTe2RhI (GGA-PBE, optimized geometry); crystal system = tetragonal; SG = P4/mmm; density of states at the Fermi level = 7.3 states/eV per cell
1.0
-1.475 -4.895 -1.509
4.976 -0.998 -1.629
1.261 -1.933 5.037
I Te Rh Ga
1 2 1 1
Cartesian
0.631 -0.967 2.518
2.488 -0.499 -0.815
-0.738 -2.447 -0.754
2.381 -3.913 0.949
0.000 0.000 0.000

=====

The most stable of them is (A).

=====

(A)
GaTeRhI2 (GGA-PBE, optimized geometry); crystal system = tetragonal; SG = P4/mmm; density of states at the Fermi level = 4.3 states/eV per cell
1.0
5.653 0.000 0.000
0.000 5.653 0.000
0.000 0.000 5.072
I Te Rh Ga
2 1 1 1
Cartesian
0.000 2.826 0.000
2.826 0.000 0.000
0.000 0.000 2.536
0.000 0.000 0.000
2.826 2.826 2.536

=====

(B)
GaTeRhI2 (GGA-PBE, optimized geometry); crystal system = tetragonal; SG = P4/mmm; density of states at the Fermi level = 8.9 states/eV per cell
1.0
-3.138 4.369 1.392
-2.298 -2.958 4.104
3.869 1.699 3.390
I Te Rh Ga
2 1 1 1
Cartesian
-1.149 -1.479 2.052
-1.569 2.185 0.696
1.934 0.849 1.695
-0.784 1.555 4.443
0.000 0.000 0.000

=====

The most stable of them is (A).

=====

(A)
GaRuI3 (GGA-PBE, optimized geometry); crystal system = cubic; SG = Pm-3m; density of states at the Fermi level = 8.0 states/eV per cell
1.0
-3.143 3.469 2.873
-4.428 -3.023 -1.193
0.828 -2.999 4.526
I Ru Ga
3 1 1
Cartesian
-2.214 -1.511 -0.596
0.414 -1.499 2.263
-1.571 1.735 1.437
0.000 0.000 0.000
-3.371 -1.276 3.103

=====

(B)
GaRuI3 (GGA-PBE, optimized geometry); crystal system = cubic; SG = Pm-3m; density of states at the Fermi level = 2.0 states/eV per cell
1.0
5.625 0.000 0.000
0.000 5.625 0.000
0.000 0.000 5.625
I Ru Ga
3 1 1
Cartesian
0.000 2.813 0.000
0.000 0.000 2.813
2.813 0.000 0.000
2.813 2.813 2.813
0.000 0.000 0.000

=====

The most stable of them is (A).

=====

(A)
Ga2RuI (GGA-PBE, optimized geometry); crystal system = cubic; SG = Fm-3m; density of states at the Fermi level = 5.2 states/eV per cell
1.0
-2.941 -3.342 -1.778
-4.749 0.565 0.331
-2.584 0.927 -3.930
I Ru Ga
1 1 2
Cartesian
-5.137 -0.925 -2.688
0.000 0.000 0.000
-2.568 -0.463 -1.344
-7.705 -1.388 -4.032

=====

(B)
Ga2RuI (GGA-PBE, optimized geometry); crystal system = tetragonal; SG = I-42d; density of states at the Fermi level = 7.4 states/eV per cell
1.0
-2.626 -1.653 5.491
5.730 -0.513 2.586
1.332 4.688 5.670
I Ru Ga
2 2 4
Cartesian
0.000 0.000 0.000
0.129 0.976 7.600
1.552 -1.083 4.038
4.307 1.546 6.147
-0.350 0.227 4.667
3.344 0.492 4.225
2.691 2.657 7.520
3.188 1.668 11.082

=====

The most stable of them is (B).

=====

(A)
GaSbRuI2 (GGA-PBE, optimized geometry); crystal system = tetragonal; SG = P4/mmm; density of states at the Fermi level = 6.4 states/eV per cell
1.0
-1.001 4.748 2.652
-5.184 -1.648 0.994
1.606 -2.252 4.640
I Sb Ga Ru
2 1 1 1
Cartesian
-2.592 -0.824 0.497
-0.501 2.374 1.326
0.803 -1.126 2.320
0.000 0.000 0.000
-2.290 0.424 4.143

=====

(B)
GaSbRuI2 (GGA-PBE, optimized geometry); crystal system = tetragonal; SG = P4/mmm; density of states at the Fermi level = 3.3 states/eV per cell
1.0
-1.945 4.638 2.602
-3.085 -3.240 3.471
3.808 -0.198 3.199
I Sb Ga Ru
2 1 1 1
Cartesian
-1.542 -1.620 1.736
-0.972 2.319 1.301
1.904 -0.099 1.599
-0.611 0.600 4.636
0.000 0.000 0.000

=====

The most stable of them is (B).

=====

(A)
GaSb2RuI (GGA-PBE, optimized geometry); crystal system = tetragonal; SG = P4/mmm; density of states at the Fermi level = 3.4 states/eV per cell
1.0
-0.030 -1.835 -4.707
-4.525 -2.084 0.842
-2.666 5.006 -1.935
I Sb Ga Ru
1 2 1 1
Cartesian
-1.333 2.503 -0.967
-2.262 -1.042 0.421
-0.015 -0.918 -2.354
-3.610 0.543 -2.900
0.000 0.000 0.000

=====

(B)
GaSb2RuI (GGA-PBE, optimized geometry); crystal system = tetragonal; SG = P4/mmm; density of states at the Fermi level = 4.9 states/eV per cell
1.0
5.263 0.000 0.000
0.000 5.263 0.000
0.000 0.000 5.454
I Sb Ga Ru
1 2 1 1
Cartesian
0.000 0.000 2.727
0.000 2.631 0.000
2.631 0.000 0.000
0.000 0.000 0.000
2.631 2.631 2.727

=====

The most stable of them is (A).

=====

(A)
GaSI2 (GGA-PBE, optimized geometry); crystal system = cubic; SG = Fm-3m; density of states at the Fermi level = 3.3 states/eV per cell
1.0
0.000 3.831 3.831
3.831 0.000 3.831
3.831 3.831 0.000
I S Ga
2 1 1
Cartesian
1.916 1.916 1.916
5.747 5.747 5.747
0.000 0.000 0.000
3.831 3.831 3.831

=====

(B)
GaSI2 (GGA-PBE, optimized geometry); crystal system = tetragonal; SG = I-42d; density of states at the Fermi level = 3.2 states/eV per cell
1.0
6.133 0.000 0.000
0.000 6.133 0.000
3.067 3.067 8.748
I S Ga
4 2 2
Cartesian
4.138 1.533 2.187
1.996 4.600 2.187
4.600 5.062 6.561
7.667 7.204 6.561
3.067 3.067 0.000
3.067 6.133 4.374
0.000 0.000 0.000
6.133 3.067 4.374

=====

The most stable of them is (B).

=====

(A)
GaSI3 (GGA-PBE, optimized geometry); crystal system = cubic; SG = Pm-3m; density of states at the Fermi level = 5.9 states/eV per cell
1.0
5.667 0.000 0.000
0.000 5.667 0.000
0.000 0.000 5.667
I S Ga
3 1 1
Cartesian
0.000 2.833 0.000
0.000 0.000 2.833
2.833 0.000 0.000
2.833 2.833 2.833
0.000 0.000 0.000

=====

(B)
GaSI3 (GGA-PBE, optimized geometry); crystal system = triclinic; SG = P-1
1.0
31.231 -5.649 4.049
3.707 6.677 -2.497
3.136 -3.545 6.673
Ga S I
4 4 12
Cartesian
25.663 0.574 1.558
12.411 -3.091 6.668
27.141 -6.833 8.366
10.933 4.316 -0.140
3.291 0.674 2.382
18.996 -1.959 4.756
34.784 -3.191 5.844
19.078 -0.557 3.469
9.758 -1.483 1.847
12.710 0.831 4.422
28.316 -1.034 6.378
25.364 -3.348 3.803
6.447 -1.294 4.491
11.664 1.734 0.365
31.627 -1.223 3.734
26.411 -4.250 7.860
21.899 -5.100 6.366
30.691 -4.409 7.432
16.175 2.583 1.859
7.383 1.892 0.793

=====

(C)
GaSI3 (GGA-PBE, optimized geometry); crystal system = cubic; SG = Pm-3m; density of states at the Fermi level = 1.0 states/eV per cell
1.0
5.620 0.000 0.000
0.000 5.620 0.000
0.000 0.000 5.620
I S Ga
3 1 1
Cartesian
0.000 2.810 0.000
0.000 0.000 2.810
2.810 0.000 0.000
0.000 0.000 0.000
2.810 2.810 2.810

=====

The most stable of them is (B).

=====

(A)
GaSb2SI (GGA-PBE, optimized geometry); crystal system = tetragonal; SG = P4/mmm; density of states at the Fermi level = 4.6 states/eV per cell
1.0
5.413 0.000 0.000
0.000 5.413 0.000
0.000 0.000 5.289
I Sb S Ga
1 2 1 1
Cartesian
0.000 0.000 2.645
0.000 2.706 0.000
2.706 0.000 0.000
2.706 2.706 2.645
0.000 0.000 0.000

=====

(B)
GaSb2SI (GGA-PBE, optimized geometry); crystal system = tetragonal; SG = P4/mmm; density of states at the Fermi level = 3.8 states/eV per cell
1.0
-0.915 0.420 -5.174
-5.163 -0.614 0.863
-0.576 5.627 0.558
I Sb S Ga
1 2 1 1
Cartesian
-0.288 2.813 0.279
-2.582 -0.307 0.432
-0.457 0.210 -2.587
0.000 0.000 0.000
-3.327 2.716 -1.876

=====

The most stable of them is (B).